This record from the Alexandria database describes a relaxed structure of V2TeSe2. The functional is PBE.

Results
energy relative to the elements, uncorrected = -35.40 kJ per mole of atoms
density = 6.545 g cm⁻³
M_tot = 3.8 μB/cell
offset from the most stable computed form = 10.0 kJ per mole of atoms

Cell lengths 5.1199, 3.6087, 10.9334 Å; angles 90.00, 103.31, 90.00 degrees
With the nearest neighbours (Å) after each atom.
Sites, in units of the cell vectors:
V: 0.0770 0.2500 0.1959  4 Se 2.61-2.79, 3 Te 2.69-2.85
V: 0.3547 0.2500 0.5494  6 Se 2.51-2.77, 2 V 2.72
V: 0.6453 0.7500 0.4506  6 Se 2.51-2.77, 2 V 2.72
V: 0.9230 0.7500 0.8041  4 Se 2.61-2.79, 3 Te 2.69-2.85
Te: 0.2213 0.2500 0.9589  3 V 2.69-2.85
Te: 0.7787 0.7500 0.0411  3 V 2.69-2.85
Se: 0.1414 0.7500 0.3902  6 V 2.51-2.77
Se: 0.4018 0.7500 0.7232  4 V 2.59-2.79
Se: 0.5982 0.2500 0.2768  4 V 2.59-2.79
Se: 0.8586 0.2500 0.6098  6 V 2.51-2.77